The following is a DFT calculation (PBE) of a relaxed structure of CsH7Pt2.

abc: 5.402 10.472 3.705
angles: 90.00 90.00 90.00
Space group Cmmm (No. 65)
Unique sites:
Cs (0.000, 0.000, 0.000) (multiplicity 2)
H (0.000, 0.325, 0.000) (multiplicity 4)
H (0.000, 0.500, 0.500) (multiplicity 2)
H (0.184, 0.167, 0.500) (multiplicity 8)
Pt (0.000, 0.317, 0.500) (multiplicity 4)

* M_tot: 0.0 μB/f.u.
* energy: -74.55 eV per cell

The following is a DFT calculation (PBE) of a relaxed structure of Cs3H6Pt.

abc: 6.522 9.353 6.521
angles: 90.00 90.00 90.00
Space group Pnnm (No. 58)
Unique sites:
Cs (0.000, 0.000, 0.000) (multiplicity 2)
Cs (0.000, 0.250, 0.500) (multiplicity 4)
H (0.002, 0.318, 0.000) (multiplicity 4)
H (0.183, 0.501, 0.183) (multiplicity 8)
Pt (0.000, 0.500, 0.000) (multiplicity 2)

* M_tot: 0.0 μB/f.u.
* energy: -62.69 eV per cell

The following is a DFT calculation (PBE) of a relaxed structure of CsH8Pt2.

abc: 5.503 3.624 6.831
angles: 90.00 112.64 90.00
Space group P2/m (No. 10)
Unique sites:
Cs (0.000, 0.000, 0.000) (multiplicity 1)
H (0.080, 0.500, 0.676) (multiplicity 2)
H (0.261, 0.000, 0.520) (multiplicity 2)
H (0.409, 0.500, 0.319) (multiplicity 2)
H (0.500, 0.105, 0.000) (multiplicity 2)
Pt (0.258, 0.500, 0.514) (multiplicity 2)

* M_tot: 0.0 μB/f.u.
* energy: -40.99 eV per cell